Below is a relaxed structure of TiPI2O, with properties calculated at the PBE level.

Lattice parameters (Å, degrees): 5.5954 5.5954 3.7094 90.00 90.00 90.00
Fractional coordinates of all 5 atoms:
1 Ti 0.0000 0.0000 0.0000
2 P 0.5000 0.5000 0.5000
3 I 0.0000 0.5000 0.0000
4 I 0.5000 0.0000 0.0000
5 O 0.0000 0.0000 0.5000

Results
calculated density = 4.99 g/cm3
polymorph energy (0 for the lowest one) = 0 meV/atom
calculated total energy = -4.71 eV/atom
space group = P4/mmm (123)
density of states at the Fermi level = 4.05 states/eV per cell
formation energy from raw total energies = -442 meV per atom